First-principles (GGA-PBE) data for an optimized crystal structure of TbErPd3, as listed in Alexandria.

Structure (extended XYZ):
```
20
Lattice="-0.290 -1.999 -5.086 5.871 -5.706 1.908 -10.437 -1.739 1.280" Properties=species:S:1:pos:R:3 pbc="T T T"
Er -3.617 -2.138 -3.408
Er -1.239 -7.307 1.510
Er -5.896 -5.834 -1.747
Er 1.040 -3.611 -0.151
Pd -9.699 -2.688 0.125
Pd -6.171 -3.184 -2.736
Pd -3.312 -4.783 -2.360
Pd -3.553 -6.588 -0.157
Pd -6.832 -4.225 0.655
Pd -1.303 -2.856 -1.741
Pd -3.442 -5.584 2.385
Pd 1.315 -6.260 0.838
Pd -1.544 -4.662 0.462
Pd 1.975 -5.219 -2.553
Pd 4.843 -6.757 -2.023
Pd -1.415 -3.861 -4.283
Tb -9.006 -4.149 -2.283
Tb -4.005 -3.321 0.050
Tb 4.150 -5.296 0.385
Tb -0.851 -6.124 -1.948
```

Symmetry = P2_1/c
DOS(E_F) = 0.608 states/eV/atom
ρ = 10.44 g/cm³
Formation energy = -0.862 eV per atom